[1]
DFT (PBE) results for a relaxed CeZnBi crystal.

Results
formation energy: -0.4161 eV per atom
total magnetic moment: 1.01 μB per cell

Geometry as CIF:
```
data_CeZnBi
_cell_length_a 4.6045
_cell_length_b 4.6045
_cell_length_c 4.4637
_cell_angle_alpha 90.00
_cell_angle_beta 90.00
_cell_angle_gamma 120.00
_space_group_name_H-M_alt 'P 3 m 1'
_space_group_IT_number 156
loop_
_space_group_symop_operation_xyz
'x,y,z'
'-y,x-y,z'
'-x+y,-x,z'
'-y,-x,z'
'-x+y,y,z'
'x,x-y,z'
loop_
_atom_site_label
_atom_site_fract_x
_atom_site_fract_y
_atom_site_fract_z
Ce1 0.0000 0.0000 0.0000
Zn1 0.6667 0.3333 0.6862
Bi1 0.3333 0.6667 0.4562
```



[2]
DFT (PBE) results for a relaxed PmTiGe2 crystal.

Results
formation energy: -0.5097 eV per atom
total magnetic moment: 0.00 μB per cell

Geometry as CIF:
```
data_PmTiGe2
_cell_length_a 3.565
_cell_length_b 3.565
_cell_length_c 6.285
_cell_angle_alpha 90.00
_cell_angle_beta 90.00
_cell_angle_gamma 90.00
_space_group_name_H-M_alt 'P 4/m m m'
_space_group_IT_number 123
_space_group_name_Hall '-P 4 2'
loop_
_atom_site_label
_atom_site_fract_x
_atom_site_fract_y
_atom_site_fract_z
Pm1 0.000 0.000 0.000
Ti1 0.000 0.000 0.500
Ge1 0.500 0.500 0.300
```



[3]
DFT (PBE) results for a relaxed Ta3Nb4Rh crystal.

Results
formation energy: 0.4572 eV per atom
total magnetic moment: 0.00 μB per cell

Geometry as CIF:
```
data_Ta3Nb4Rh
_cell_length_a 3.131
_cell_length_b 7.692
_cell_length_c 12.817
_cell_angle_alpha 90.00
_cell_angle_beta 90.00
_cell_angle_gamma 90.00
_space_group_name_H-M_alt 'I m m m'
_space_group_IT_number 71
_space_group_name_Hall '-I 2 2'
loop_
_atom_site_label
_atom_site_fract_x
_atom_site_fract_y
_atom_site_fract_z
Ta1 0.000 0.000 0.000
Ta2 0.000 0.500 0.164
Nb1 0.000 0.309 0.356
Rh1 0.000 0.000 0.500
```